! VTePO2, relaxed, DFT GGA+U; values from VASP
! Magnetic moment   0.65 μB per cell
! Mass density   5.07 g cm⁻³
! E_tot   -29.05 eV for the cell shown
! Polymorph energy (0 for the lowest one)   0.00 eV/f.u.
&SYSTEM
  ibrav = 0, nat = 5, ntyp = 4
/
ATOMIC_SPECIES
P 30.97 P.upf
Te 127.60 Te.upf
O 16.00 O.upf
V 50.94 V.upf
CELL_PARAMETERS angstrom
-0.755 -0.560 -3.641
3.156 -2.015 -0.344
-2.825 -4.648 1.300
ATOMIC_POSITIONS crystal
P 0.000 0.000 0.500
Te 0.500 0.500 0.500
O 0.000 0.500 0.000
O 0.500 0.000 0.000
V 0.000 0.000 0.000